1.
Compound: Sc3CoRh
Source: Alexandria via LeMat-Bulk
Functional: PBE
Structure: relaxed Values from VASP.

- distance to the lowest polymorph of the same formula (kJ per mole of atoms) = 42.1
- DFT total energy (eV/atom) = -6.76
- symmetry = Pm-3m
- energy relative to the elements (eV/atom) = -0.07

Quantum ESPRESSO input file:
```
&SYSTEM
  ibrav = 0, nat = 5, ntyp = 3
/
ATOMIC_SPECIES
Sc 44.96 Sc.upf
Co 58.93 Co.upf
Rh 102.91 Rh.upf
CELL_PARAMETERS angstrom
-2.5448 -2.7867 -2.7652
-0.5389 -3.0161 3.5356
-3.8886 2.2417 1.3196
ATOMIC_POSITIONS crystal
Sc 0.0000 0.5000 0.0000
Sc 0.0000 0.0000 0.5000
Sc 0.5000 0.0000 0.0000
Co 0.0000 0.0000 0.0000
Rh 0.5000 0.5000 0.5000
```

***

2.
Compound: SrI2N2
Source: Alexandria via LeMat-Bulk
Functional: PBE
Structure: relaxed Values from VASP.

- uncorrected formation energy (meV per atom) = -1024
- distance to the lowest polymorph of the same formula (kJ per mole of atoms) = 0.0
- DFT total energy (eV/atom) = -5.31
- symmetry = C2/m

Quantum ESPRESSO input file:
```
&SYSTEM
  ibrav = 0, nat = 5, ntyp = 3
/
ATOMIC_SPECIES
Sr 87.62 Sr.upf
N 14.01 N.upf
I 126.90 I.upf
CELL_PARAMETERS angstrom
4.8581 0.0000 0.0000
-2.4291 4.2089 0.0080
0.0000 0.1145 10.9302
ATOMIC_POSITIONS crystal
Sr 0.0000 0.0000 0.0000
N 0.0039 0.0078 0.5508
N 0.9961 0.9922 0.4492
I 0.6641 0.3282 0.1624
I 0.3359 0.6718 0.8376
```

***

3.
Compound: ZrFe3Pd
Source: Alexandria via LeMat-Bulk
Functional: PBE
Structure: relaxed Values from VASP.

- distance to the lowest polymorph of the same formula (kJ per mole of atoms) = 0.0
- DFT total energy (eV/atom) = -6.85
- symmetry = Pm-3m
- energy relative to the elements (eV/atom) = 0.98

Quantum ESPRESSO input file:
```
&SYSTEM
  ibrav = 0, nat = 5, ntyp = 3
/
ATOMIC_SPECIES
Fe 55.84 Fe.upf
Pd 106.42 Pd.upf
Zr 91.22 Zr.upf
CELL_PARAMETERS angstrom
4.5893 0.0000 0.0000
0.0000 4.5893 0.0000
0.0000 0.0000 4.5893
ATOMIC_POSITIONS crystal
Fe 0.0000 0.0000 0.5000
Fe 0.0000 0.5000 0.0000
Fe 0.5000 0.0000 0.0000
Pd 0.0000 0.0000 0.0000
Zr 0.5000 0.5000 0.5000
```

***

4.
Compound: CaCdHg2
Source: Alexandria via LeMat-Bulk
Functional: PBE
Structure: relaxed Values from VASP.

- DFT total energy (eV/atom) = -1.11
- symmetry = R3m
- energy relative to the elements (eV/atom) = -0.23

Quantum ESPRESSO input file:
```
&SYSTEM
  ibrav = 0, nat = 4, ntyp = 3
/
ATOMIC_SPECIES
Hg 200.59 Hg.upf
Cd 112.41 Cd.upf
Ca 40.08 Ca.upf
CELL_PARAMETERS angstrom
-1.9723 1.5510 3.3043
0.6495 -1.6324 3.7586
5.3653 4.9181 3.4988
ATOMIC_POSITIONS crystal
Hg 0.2451 0.2451 0.2646
Hg 0.0887 0.0887 0.7339
Cd 0.4992 0.4992 0.5024
Ca 0.6670 0.6670 0.9991
```

***

5.
Compound: SrGaRhSe2
Source: Alexandria via LeMat-Bulk
Functional: PBE
Structure: relaxed Values from VASP.

- uncorrected formation energy (meV per atom) = -663
- DFT total energy (eV/atom) = -4.47
- symmetry = P4/mmm

Quantum ESPRESSO input file:
```
&SYSTEM
  ibrav = 0, nat = 5, ntyp = 4
/
ATOMIC_SPECIES
Sr 87.62 Sr.upf
Rh 102.91 Rh.upf
Ga 69.72 Ga.upf
Se 78.96 Se.upf
CELL_PARAMETERS angstrom
-1.9316 -1.4868 4.6368
3.9830 -2.0308 1.0081
1.7275 4.4546 2.1480
ATOMIC_POSITIONS crystal
Sr 0.5000 0.5000 0.5000
Rh 0.0000 0.0000 0.0000
Ga 0.0000 0.5000 0.0000
Se 0.5000 0.0000 0.0000
Se 0.0000 0.0000 0.5000
```

***

6.
Compound: NaPuCdBr6
Source: Alexandria via LeMat-Bulk
Functional: PBE
Structure: relaxed Values from VASP.

- uncorrected formation energy (meV per atom) = -1283
- DFT total energy (eV/atom) = -4.24
- symmetry = P-31c

Quantum ESPRESSO input file:
```
&SYSTEM
  ibrav = 0, nat = 18, ntyp = 4
/
ATOMIC_SPECIES
Br 79.90 Br.upf
Pu 244.00 Pu.upf
Cd 112.41 Cd.upf
Na 22.99 Na.upf
CELL_PARAMETERS angstrom
-3.1737 6.5321 0.4565
-4.0799 -5.9895 -0.6554
-0.4503 -1.1478 13.2923
ATOMIC_POSITIONS crystal
Br 0.9927 0.6451 0.8701
Br 0.3476 0.3549 0.3701
Br 0.6524 0.6451 0.6299
Br 0.3549 0.0073 0.6299
Br 0.0073 0.3549 0.1299
Br 0.6451 0.9927 0.3701
Br 0.6451 0.6524 0.1299
Br 0.3549 0.3476 0.8701
Br 0.9927 0.3476 0.6299
Br 0.6524 0.0073 0.8701
Br 0.3476 0.9927 0.1299
Br 0.0073 0.6524 0.3701
Pu 0.3333 0.6667 0.7500
Pu 0.6667 0.3333 0.2500
Cd 0.3333 0.6667 0.2500
Cd 0.6667 0.3333 0.7500
Na 0.0000 0.0000 0.0000
Na 0.0000 0.0000 0.5000
```

***

7.
Compound: NaTbErTl
Source: Alexandria via LeMat-Bulk
Functional: PBE
Structure: relaxed Values from VASP.

- DFT total energy (eV/atom) = -3.26
- symmetry = F-43m
- energy relative to the elements (eV/atom) = -0.04

Quantum ESPRESSO input file:
```
&SYSTEM
  ibrav = 0, nat = 4, ntyp = 4
/
ATOMIC_SPECIES
Er 167.26 Er.upf
Na 22.99 Na.upf
Tb 158.93 Tb.upf
Tl 204.38 Tl.upf
CELL_PARAMETERS angstrom
5.3901 0.0000 0.0000
2.6951 4.6680 0.0000
2.6951 1.5560 4.4010
ATOMIC_POSITIONS crystal
Er 0.2500 0.2500 0.2500
Na 0.5000 0.5000 0.5000
Tb 0.7500 0.7500 0.7500
Tl 0.0000 0.0000 0.0000
```

***

8.
Compound: NaPtF2
Source: Alexandria via LeMat-Bulk
Functional: PBE
Structure: relaxed Values from VASP.

- uncorrected formation energy (meV per atom) = -1040
- distance to the lowest polymorph of the same formula (kJ per mole of atoms) = 58.6
- DFT total energy (eV/atom) = -3.82
- symmetry = I-42d

Quantum ESPRESSO input file:
```
&SYSTEM
  ibrav = 0, nat = 8, ntyp = 3
/
ATOMIC_SPECIES
Pt 195.08 Pt.upf
F 19.00 F.upf
Na 22.99 Na.upf
CELL_PARAMETERS angstrom
-1.2928 5.9202 -0.4947
-5.0673 -1.3632 -3.0707
-4.8166 2.1515 0.9742
ATOMIC_POSITIONS crystal
Pt 0.7500 0.2500 0.5000
Pt 0.0000 0.0000 0.0000
F 0.1316 0.6250 0.2500
F 0.6184 0.1250 0.2500
F 0.8750 0.8684 0.7500
F 0.3750 0.3816 0.7500
Na 0.5000 0.5000 0.0000
Na 0.2500 0.7500 0.5000
```

***

Asked for M_tot across the records above, the calculation gives 0.0 0.0 7.8 0.0 0.0 5.0 0.0 1.0 μB/f.u. in order.